Computed, not measured: an optimized crystal structure of Pm5GaPb3 at the PBE level of DFT.

Lattice parameters (Å, degrees): 9.596 9.596 6.721 90.00 90.00 120.00
Atoms (fractional coordinates):
1 Pm 0.667 0.333 0.500
2 Pm 0.000 0.741 0.250
3 Pm 0.741 0.000 0.250
4 Pm 0.259 0.259 0.250
5 Pm 0.259 0.000 0.750
6 Pm 0.333 0.667 0.500
7 Pm 0.741 0.741 0.750
8 Pm 0.333 0.667 0.000
9 Pm 0.000 0.259 0.750
10 Pm 0.667 0.333 0.000
11 Pb 0.384 0.384 0.750
12 Pb 0.000 0.616 0.750
13 Pb 0.616 0.616 0.250
14 Pb 0.384 0.000 0.250
15 Pb 0.616 0.000 0.750
16 Pb 0.000 0.384 0.250
17 Ga 0.000 0.000 0.500
18 Ga 0.000 0.000 0.000

Total magnetization ... 0.80 Bohr magnetons per cell


Computed, not measured: an optimized crystal structure of MoIr2Os at the PBE level of DFT.

Lattice parameters (Å, degrees): 4.408 5.531 5.531 60.24 90.00 90.00
Atoms (fractional coordinates):
1 Ir 0.000 0.834 0.834
2 Ir 0.500 0.166 0.166
3 Ir 0.500 0.167 0.668
4 Ir 0.500 0.668 0.167
5 Os 0.000 0.332 0.833
6 Os 0.000 0.833 0.332
7 Mo 0.500 0.666 0.666
8 Mo 0.000 0.334 0.334

Formation enthalpy at 0 K ... -275.3 meV per atom
Energy relative to the lowest polymorph listed for this composition ... 10 meV/atom
Total magnetization ... 0.00 Bohr magnetons per cell


Computed, not measured: an optimized crystal structure of NaTcBi at the PBE level of DFT.

Lattice parameters (Å, degrees): 4.630 4.630 4.630 60.00 60.00 60.00
Atoms (fractional coordinates):
1 Tc 0.000 0.000 0.000
2 Bi 0.250 0.250 0.250
3 Na 0.750 0.750 0.750

Energy relative to the lowest polymorph listed for this composition ... 0 meV/atom
Total magnetization ... 0.01 Bohr magnetons per cell


Computed, not measured: an optimized crystal structure of RbGeTe2AuSe at the PBE level of DFT.

Lattice parameters (Å, degrees): 8.360 8.360 11.401 90.00 90.00 152.96
Atoms (fractional coordinates):
1 Se 0.951 0.049 0.250
2 Se 0.049 0.951 0.750
3 Au 0.560 0.440 0.250
4 Au 0.440 0.560 0.750
5 Ge 0.000 0.000 0.500
6 Ge 0.000 0.000 0.000
7 Te 0.372 0.628 0.969
8 Te 0.628 0.372 0.031
9 Te 0.372 0.628 0.531
10 Te 0.628 0.372 0.469
11 Rb 0.262 0.738 0.250
12 Rb 0.738 0.262 0.750


Computed, not measured: an optimized crystal structure of NaHg3IrSe4 at the PBE level of DFT.

Lattice parameters (Å, degrees): 6.625 6.625 6.625 90.00 90.00 90.00
Atoms (fractional coordinates):
1 Se 0.777 0.777 0.777
2 Se 0.777 0.223 0.223
3 Se 0.223 0.777 0.223
4 Se 0.223 0.223 0.777
5 Hg 0.000 0.000 0.500
6 Hg 0.500 0.000 0.000
7 Hg 0.000 0.500 0.000
8 Ir 0.000 0.000 0.000
9 Na 0.500 0.500 0.500

Total magnetization ... 2.75 Bohr magnetons per cell


Computed, not measured: an optimized crystal structure of Zr2AlGaCu2Pd2 at the PBE level of DFT.

Lattice parameters (Å, degrees): 4.498 4.498 6.384 90.00 90.00 90.00
Atoms (fractional coordinates):
1 Pd 0.500 0.000 0.754
2 Pd 0.000 0.500 0.246
3 Ga 0.500 0.500 0.500
4 Zr 0.000 0.000 0.500
5 Zr 0.500 0.500 0.000
6 Cu 0.500 0.000 0.245
7 Cu 0.000 0.500 0.755
8 Al 0.000 0.000 0.000

Total magnetization ... 0.01 Bohr magnetons per cell


Computed, not measured: an optimized crystal structure of PmY2Hg5 at the PBE level of DFT.

Lattice parameters (Å, degrees): 8.196 8.196 8.196 142.78 142.78 53.65
Atoms (fractional coordinates):
1 Y 0.734 0.734 0.000
2 Y 0.266 0.266 0.000
3 Hg 0.500 0.500 0.000
4 Hg 0.627 0.127 0.500
5 Hg 0.373 0.873 0.500
6 Hg 0.127 0.627 0.500
7 Hg 0.873 0.373 0.500
8 Pm 0.000 0.000 0.000

Formation enthalpy at 0 K ... -454.7 meV per atom
Total magnetization ... 0.00 Bohr magnetons per cell


Computed, not measured: an optimized crystal structure of NbFe2B at the PBE level of DFT.

Lattice parameters (Å, degrees): 4.044 4.044 4.044 60.00 60.00 60.00
Atoms (fractional coordinates):
1 Fe 0.750 0.750 0.750
2 Fe 0.000 0.000 0.000
3 B 0.500 0.500 0.500
4 Nb 0.250 0.250 0.250

Total magnetization ... 3.66 Bohr magnetons per cell


Computed, not measured: an optimized crystal structure of Lu4CdPbN2 at the PBE level of DFT.

Lattice parameters (Å, degrees): 3.437 3.437 15.296 90.00 90.00 120.00
Atoms (fractional coordinates):
1 Lu 0.000 0.000 0.332
2 Lu 0.667 0.333 0.164
3 Lu 0.000 0.000 0.668
4 Lu 0.667 0.333 0.836
5 N 0.333 0.667 0.748
6 N 0.333 0.667 0.252
7 Cd 0.000 0.000 0.000
8 Pb 0.667 0.333 0.500

Total magnetization ... 0.01 Bohr magnetons per cell


Computed, not measured: an optimized crystal structure of Na3As4HAu2O14 at the PBE level of DFT.

Lattice parameters (Å, degrees): 5.537 5.488 13.072 84.35 102.52 120.13
Atoms (fractional coordinates):
1 O 0.318 0.431 0.724
2 O 0.772 0.783 0.079
3 O 0.682 0.569 0.276
4 O 0.701 0.485 0.486
5 O 0.208 0.422 0.116
6 O 0.711 0.083 0.361
7 O 0.792 0.578 0.884
8 O 0.215 0.098 0.348
9 O 0.289 0.917 0.639
10 O 0.299 0.515 0.514
11 O 0.596 0.206 0.121
12 O 0.404 0.794 0.879
13 O 0.785 0.902 0.652
14 O 0.228 0.217 0.921
15 As 0.444 0.507 0.862
16 As 0.423 0.702 0.629
17 As 0.577 0.298 0.371
18 As 0.556 0.493 0.138
19 Au 0.948 0.209 0.236
20 Au 0.052 0.791 0.764
21 Na 0.000 0.000 0.500
22 Na 0.180 0.829 0.029
23 Na 0.820 0.171 0.971
24 H 0.500 0.500 0.500


Computed, not measured: an optimized crystal structure of NpGa2Tc at the PBE level of DFT.

Lattice parameters (Å, degrees): 4.534 6.578 5.002 90.00 105.98 90.00
Atoms (fractional coordinates):
1 Ga 0.081 0.052 0.270
2 Ga 0.081 0.448 0.270
3 Ga 0.919 0.948 0.730
4 Ga 0.919 0.552 0.730
5 Tc 0.388 0.750 0.598
6 Tc 0.612 0.250 0.402
7 Np 0.537 0.750 0.143
8 Np 0.463 0.250 0.857

Total magnetization ... 6.28 Bohr magnetons per cell


Computed, not measured: an optimized crystal structure of LuInFeIr at the PBE level of DFT.

Lattice parameters (Å, degrees): 4.639 4.639 4.639 60.00 60.00 60.00
Atoms (fractional coordinates):
1 Ir 0.250 0.250 0.250
2 Fe 0.750 0.750 0.750
3 In 0.000 0.000 0.000
4 Lu 0.500 0.500 0.500

Energy relative to the lowest polymorph listed for this composition ... 0 meV/atom
Total magnetization ... 1.98 Bohr magnetons per cell


In order of appearance, DFT total energy = -4.797, -10.221, -4.490, -3.337, -2.711, -5.768, -2.850, -8.181, -5.959, -5.340, -7.558, -6.344 eV/atom.